Compound: InMo2Os
Source: Alexandria via LeMat-Bulk
Functional: PBE
Structure: relaxed

Cell lengths 5.0314, 5.0314, 4.9217 Å; angles 77.67, 77.67, 33.41 degrees
With the nearest neighbours (Å) after each atom.
Fractional coordinates of all 4 atoms:
In1 0.7553 0.7553 0.7477  7 Mo 2.84-3.00, 2 In 2.89, 3 Os 2.94-2.95
Mo1 0.9884 0.9884 0.0259  2 Os 2.67, 5 Mo 2.80-2.92, 1 In 2.88
Mo2 0.2421 0.2421 0.2571  2 Os 2.64, 5 Mo 2.80-2.92, 4 In 2.84-2.87
Os1 0.5142 0.5142 0.4692  4 Mo 2.64-2.67, 2 Os 2.89, 3 In 2.94-2.95

Calculated values
As for the space group: No. 8. The calculation puts the total magnetization at 0.00 μB/cell. For the formation energy, the calculation gives 1.33 eV per formula unit. The density of states at the Fermi level comes out at 0.701 states/eV/atom.